# 1
## ScCrW (PBE)

Data for a geometry-optimized ScCrW structure.

Results
Symmetry ... I4mm (107)
Formation energy from the elements ... 54 kJ/mol of formula units
Total magnetic moment ... 0.21 μB/cell
Energy relative to the lowest polymorph listed for this composition ... 97 meV per atom

```
ScCrW
1.0
-4.609 -1.836 -2.382
-1.333 -4.817 -2.304
2.252 2.587 4.303
W Cr Sc
1 1 1
direct
0.642 0.642 0.000
0.021 0.021 0.000
0.337 0.337 0.000
```

=====

# 2
## ScCrW (PBE)

Data for a geometry-optimized ScCrW structure.

Results
Symmetry ... Imm2 (44)
Formation energy from the elements ... 137 kJ/mol of formula units
Total magnetic moment ... 0.00 μB/cell
Energy relative to the lowest polymorph listed for this composition ... 382 meV per atom

```
ScCrW
1.0
4.755 0.006 -0.001
1.734 4.428 0.001
-2.482 -3.332 2.312
W Sc Cr
1 1 1
direct
0.674 0.674 0.000
0.333 0.333 0.000
0.993 0.993 0.000
```

=====

# 3
## ScCrW2 (PBE)

Data for a geometry-optimized ScCrW2 structure.

Results
Symmetry ... Fm-3m (225)
Formation energy from the elements ... 145 kJ/mol of formula units
Total magnetic moment ... 0.00 μB/cell
Energy relative to the lowest polymorph listed for this composition ... 205 meV per atom

```
ScCrW2
1.0
-3.142 -3.143 0.284
-2.958 0.103 3.328
-4.254 1.022 -0.833
Cr Sc W
1 1 2
direct
0.500 0.500 0.500
0.000 0.000 0.000
0.250 0.250 0.250
0.750 0.750 0.750
```

=====

# 4
## ScCrW (PBE)

Data for a geometry-optimized ScCrW structure.

Results
Symmetry ... P3m1 (156)
Formation energy from the elements ... 132 kJ/mol of formula units
Total magnetic moment ... 0.00 μB/cell
Energy relative to the lowest polymorph listed for this composition ... 366 meV per atom

```
ScCrW
1.0
-2.014 -2.247 0.098
1.780 0.327 -2.416
4.396 -3.820 2.723
W Sc Cr
1 1 1
direct
0.667 0.333 0.705
0.333 0.667 0.323
0.000 0.000 0.972
```

=====

# 5
## ScCrW2 (PBE)

Data for a geometry-optimized ScCrW2 structure.

Results
Symmetry ... Cmm2 (35)
Formation energy from the elements ... 97 kJ/mol of formula units
Total magnetic moment ... 0.00 μB/cell
Energy relative to the lowest polymorph listed for this composition ... 80 meV per atom

```
ScCrW2
1.0
-1.245 -1.994 -1.451
2.718 -0.091 -0.483
1.035 -5.652 6.879
Sc Cr W
1 1 2
direct
0.500 0.500 0.738
0.000 0.000 0.485
0.500 0.500 0.263
0.000 0.000 0.014
```

=====

# 6
## ScCr2W (PBE)

Data for a geometry-optimized ScCr2W structure.

Results
Symmetry ... R-3m (166)
Formation energy from the elements ... 201 kJ/mol of formula units
Total magnetic moment ... 1.23 μB/cell
Energy relative to the lowest polymorph listed for this composition ... 314 meV per atom

```
ScCr2W
1.0
8.513 0.010 0.006
7.998 2.916 0.006
7.998 1.417 2.549
W Cr Sc
1 2 1
direct
0.750 0.750 0.750
0.008 0.008 0.008
0.492 0.492 0.492
0.250 0.250 0.250
```

=====

# 7
## Sc2CrW (PBE)

Data for a geometry-optimized Sc2CrW structure.

Results
Symmetry ... Imm2 (44)
Formation energy from the elements ... 70 kJ/mol of formula units
Total magnetic moment ... 0.00 μB/cell
Energy relative to the lowest polymorph listed for this composition ... 56 meV per atom

```
Sc2CrW
1.0
5.527 -0.001 -0.001
2.520 4.919 0.001
-3.483 -3.344 2.690
Sc W Cr
2 1 1
direct
0.260 0.760 0.500
0.981 0.981 0.000
0.539 0.539 0.000
0.721 0.221 0.500
```

=====

# 8
## ScCr3W (PBE)

Data for a geometry-optimized ScCr3W structure.

Results
Symmetry ... Pm-3m (221)
Formation energy from the elements ... 564 kJ/mol of formula units
Total magnetic moment ... 6.98 μB/cell
Energy relative to the lowest polymorph listed for this composition ... 0 meV per atom

```
ScCr3W
1.0
4.644 0.000 0.000
0.000 4.644 0.000
0.000 0.000 4.644
W Cr Sc
1 3 1
direct
0.000 0.000 0.000
0.000 0.000 0.500
0.500 0.000 0.000
0.000 0.500 0.000
0.500 0.500 0.500
```

=====

# 9
## ScCrW2 (PBE)

Data for a geometry-optimized ScCrW2 structure.

Results
Symmetry ... Imm2 (44)
Formation energy from the elements ... 102 kJ/mol of formula units
Total magnetic moment ... 0.00 μB/cell
Energy relative to the lowest polymorph listed for this composition ... 94 meV per atom

```
ScCrW2
1.0
-0.415 -3.242 4.112
-3.681 -3.729 -0.364
4.375 1.983 -2.126
W Sc Cr
2 1 1
direct
0.988 0.988 0.000
0.740 0.240 0.500
0.257 0.757 0.500
0.515 0.515 0.000
```

=====

# 10
## Sc2CrW (PBE)

Data for a geometry-optimized Sc2CrW structure.

Results
Symmetry ... Pmmm (47)
Formation energy from the elements ... 162 kJ/mol of formula units
Total magnetic moment ... 0.56 μB/cell
Energy relative to the lowest polymorph listed for this composition ... 296 meV per atom

```
Sc2CrW
1.0
-1.320 1.243 2.807
-3.873 0.816 -2.183
-1.537 -4.225 1.147
Sc Cr W
2 1 1
direct
0.000 0.000 0.000
0.500 0.500 0.000
0.000 0.500 0.500
0.500 0.000 0.500
```

=====

# 11
## Sc2CrW (PBE)

Data for a geometry-optimized Sc2CrW structure.

Results
Symmetry ... Cmmm (65)
Formation energy from the elements ... 158 kJ/mol of formula units
Total magnetic moment ... 1.09 μB/cell
Energy relative to the lowest polymorph listed for this composition ... 286 meV per atom

```
Sc2CrW
1.0
2.825 0.006 0.000
-0.806 2.708 0.000
0.000 0.000 9.093
Sc Cr W
2 1 1
direct
0.000 0.000 0.515
0.000 0.000 0.985
0.500 0.500 0.750
0.500 0.500 0.250
```

=====

# 12
## ScCrW2 (PBE)

Data for a geometry-optimized ScCrW2 structure.

Results
Symmetry ... P4mm (99)
Formation energy from the elements ... 86 kJ/mol of formula units
Total magnetic moment ... 0.00 μB/cell
Energy relative to the lowest polymorph listed for this composition ... 53 meV per atom

```
ScCrW2
1.0
3.123 0.000 0.000
0.000 3.123 0.000
0.000 0.000 6.714
W Sc Cr
2 1 1
direct
0.000 0.000 0.027
0.500 0.500 0.264
0.500 0.500 0.740
0.000 0.000 0.468
```

=====

Look up the total magnetic moment of the third one.
0.00 μB/cell

=====

Which formula does entry 5 have?
ScCrW2

=====

Number 3 is which compound?
ScCrW2

=====

Among the records above, which one has the lowest formation energy from the elements?
number 1